The following is a DFT calculation (PBE) of an optimized crystal structure of NaEr2TmS4.

Values from the calculation:
Symmetry: P2/m (10)
VASP energy in Ry per atom: -0.4279
Formation energy without anion corrections in eV per atom: -1.89

a b c (Å): 3.8620 6.7457 6.7469
angles (deg): 70.95 90.00 90.00
Atoms (fractional coordinates):
Na 0.5000 0.5000 0.0000
Er 0.0000 0.0000 0.0000
Er 0.5000 0.0000 0.5000
Tm 0.0000 0.5000 0.5000
S 0.0000 0.7552 0.7434
S 0.0000 0.2448 0.2566
S 0.5000 0.7496 0.2524
S 0.5000 0.2504 0.7476


The following is a DFT calculation (PBE) of an optimized crystal structure of Na4Er3TmS8.

Values from the calculation:
Symmetry: R-3m (166)
VASP energy in Ry per atom: -0.3957
Formation energy without anion corrections in eV per atom: -1.85

a b c (Å): 7.8893 8.0828 7.8891
angles (deg): 119.24 120.00 90.00
Atoms (fractional coordinates):
Na 0.5000 0.0000 0.0000
Na 0.5000 0.0000 0.5000
Na 0.0000 0.0000 0.0000
Na 0.0000 0.0000 0.5000
Er 0.5000 0.5000 0.0000
Er 0.5000 0.5000 0.5000
Er 0.0000 0.5000 0.5000
Tm 0.0000 0.5000 0.0000
S 0.2411 0.7245 0.9837
S 0.2411 0.7245 0.4822
S 0.2582 0.2750 0.5165
S 0.7426 0.7245 0.9837
S 0.2574 0.2755 0.0163
S 0.7418 0.7250 0.4835
S 0.7589 0.2755 0.5178
S 0.7589 0.2755 0.0163


The following is a DFT calculation (PBE) of an optimized crystal structure of Na4Er3US8.

Values from the calculation:
Symmetry: R-3m (166)
VASP energy in Ry per atom: -0.4161
Formation energy without anion corrections in eV per atom: -1.71

a b c (Å): 7.9257 8.1058 7.9249
angles (deg): 119.29 120.00 90.00
Site moments in Bohr magnetons follow the coordinates.
Atoms (fractional coordinates):
Na 0.5000 0.0000 0.0000  0.00
Na 0.5000 0.0000 0.5000  0.00
Na 0.0000 0.0000 0.0000  0.00
Na 0.0000 0.0000 0.5000  0.00
Er 0.5000 0.5000 0.0000  0.08
Er 0.5000 0.5000 0.5000  0.08
Er 0.0000 0.5000 0.5000  0.08
U 0.0000 0.5000 0.0000  2.52
S 0.2439 0.7270 0.9834  -0.02
S 0.2439 0.7270 0.4878  -0.02
S 0.2582 0.2748 0.5163  0.00
S 0.7395 0.7270 0.9834  -0.02
S 0.2605 0.2730 0.0166  -0.02
S 0.7418 0.7252 0.4837  0.00
S 0.7561 0.2730 0.5122  -0.02
S 0.7561 0.2730 0.0166  -0.02


The following is a DFT calculation (PBE) of an optimized crystal structure of Na2ErUS6.

Values from the calculation:
Symmetry: P2_1/c (14)
VASP energy in Ry per atom: -0.4075
Formation energy without anion corrections in eV per atom: -1.22

a b c (Å): 6.8973 7.3121 9.7791
angles (deg): 90.00 88.60 90.00
Atoms (fractional coordinates):
Na 0.0269 0.9282 0.2551
Na 0.5269 0.5718 0.7551
Na 0.9731 0.0718 0.7449
Na 0.4731 0.4282 0.2449
Er 0.5000 0.0000 0.0000
Er 0.0000 0.5000 0.5000
U 0.5000 0.0000 0.5000
U 0.0000 0.5000 0.0000
S 0.2875 0.7007 0.0619
S 0.7875 0.7993 0.5619
S 0.7125 0.2993 0.9381
S 0.2125 0.2007 0.4381
S 0.3070 0.7149 0.4331
S 0.8070 0.7851 0.9331
S 0.6930 0.2851 0.5669
S 0.1930 0.2149 0.0669
S 0.8744 0.5350 0.2435
S 0.3744 0.9650 0.7435
S 0.1256 0.4650 0.7565
S 0.6256 0.0350 0.2565


The following is a DFT calculation (PBE) of an optimized crystal structure of Na3Er3US8.

Values from the calculation:
Symmetry: R-3m (166)
VASP energy in Ry per atom: -0.4314
Formation energy without anion corrections in eV per atom: -1.74

a b c (Å): 7.9167 7.9167 8.1282
angles (deg): 119.16 90.00 120.00
Site moments in Bohr magnetons follow the coordinates.
Atoms (fractional coordinates):
Na 0.0000 0.0000 0.0000  0.00
Na 0.0000 0.5000 0.0000  0.00
Na 0.5000 0.5000 0.0000  0.00
Er 0.5000 0.0000 0.5000  0.02
Er 0.5000 0.5000 0.5000  0.02
Er 0.0000 0.5000 0.5000  0.02
U 0.0000 0.0000 0.5000  1.97
S 0.2585 0.5170 0.2756  0.00
S 0.7415 0.4830 0.7244  0.00
S 0.7617 0.5234 0.2810  -0.03
S 0.2383 0.4766 0.7190  -0.03
S 0.7617 0.0191 0.2810  -0.03
S 0.2383 0.9809 0.7190  -0.03
S 0.2574 0.0191 0.2810  -0.03
S 0.7426 0.9809 0.7190  -0.03


The following is a DFT calculation (PBE) of an optimized crystal structure of NaEr4US8.

Values from the calculation:
Symmetry: R3m (160)
VASP energy in Ry per atom: -0.4673
Formation energy without anion corrections in eV per atom: -1.79

a b c (Å): 8.0316 8.0316 8.0781
angles (deg): 60.19 60.19 60.00
Site moments in Bohr magnetons follow the coordinates.
Atoms (fractional coordinates):
Na 0.3743 0.3743 0.8771  0.00
Er 0.6263 0.6263 0.1212  0.05
Er 0.0048 0.4885 0.5018  0.06
Er 0.4885 0.0048 0.5018  0.06
Er 0.0048 0.0048 0.5018  0.06
U 0.0032 0.0032 0.9905  2.53
S 0.2400 0.7839 0.7360  -0.02
S 0.7839 0.2400 0.7360  -0.02
S 0.2400 0.2400 0.7360  -0.02
S 0.2390 0.2390 0.2829  0.00
S 0.7541 0.2283 0.2635  -0.02
S 0.2283 0.7541 0.2635  -0.02
S 0.7541 0.7541 0.2635  -0.02
S 0.7586 0.7586 0.7241  0.00


The following is a DFT calculation (PBE) of an optimized crystal structure of NaErUS4.

Values from the calculation:
Symmetry: Imma (74)
VASP energy in Ry per atom: -0.4726
Formation energy without anion corrections in eV per atom: -1.62

a b c (Å): 8.2162 8.0962 8.0365
angles (deg): 119.76 90.00 120.49
Site moments in Bohr magnetons follow the coordinates.
Atoms (fractional coordinates):
Na 0.8813 0.7627 0.1313  0.00
Na 0.1187 0.2373 0.8687  0.00
Er 0.5000 0.0000 0.5000  0.02
Er 0.5000 0.0000 0.0000  0.02
U 0.5000 0.5000 0.5000  2.04
U 0.0000 0.5000 0.5000  2.04
S 0.7390 0.4781 0.7111  -0.05
S 0.2913 0.0292 0.2646  -0.03
S 0.7379 0.0292 0.2646  -0.03
S 0.7390 0.4781 0.2670  -0.05
S 0.2610 0.5219 0.7330  -0.05
S 0.7087 0.9708 0.7354  -0.03
S 0.2621 0.9708 0.7354  -0.03
S 0.2610 0.5219 0.2889  -0.05


The following is a DFT calculation (PBE) of an optimized crystal structure of Na2Er2US6.

Values from the calculation:
Symmetry: C2/m (12)
VASP energy in Ry per atom: -0.4443
Formation energy without anion corrections in eV per atom: -1.70

a b c (Å): 6.8651 6.8651 7.1092
angles (deg): 99.22 99.22 119.99
Site moments in Bohr magnetons follow the coordinates.
Atoms (fractional coordinates):
Na 0.8313 0.1687 0.0000  0.00
Na 0.1687 0.8313 0.0000  0.00
Er 0.3338 0.6662 0.5000  0.02
Er 0.6662 0.3338 0.5000  0.02
U 0.0000 0.0000 0.5000  2.01
S 0.7451 0.7451 0.7187  -0.03
S 0.0691 0.4038 0.7192  -0.02
S 0.2549 0.2549 0.2813  -0.03
S 0.4038 0.0691 0.7192  -0.02
S 0.9309 0.5962 0.2808  -0.02
S 0.5962 0.9309 0.2808  -0.02


The following is a DFT calculation (PBE) of an optimized crystal structure of Na3Er2US6.

Values from the calculation:
Symmetry: C2/m (12)
VASP energy in Ry per atom: -0.4225
Formation energy without anion corrections in eV per atom: -1.65

a b c (Å): 6.8776 6.8776 7.0719
angles (deg): 99.33 99.33 119.97
Site moments in Bohr magnetons follow the coordinates.
Atoms (fractional coordinates):
Na 0.1673 0.8327 0.5000  0.00
Na 0.8327 0.1673 0.5000  0.00
Na 0.5000 0.5000 0.5000  0.00
Er 0.3334 0.6666 0.0000  0.11
Er 0.6666 0.3334 0.0000  0.11
U 0.0000 0.0000 0.0000  2.53
S 0.9243 0.5873 0.7731  -0.02
S 0.7388 0.7388 0.2272  -0.02
S 0.0757 0.4127 0.2269  -0.02
S 0.5873 0.9243 0.7731  -0.02
S 0.2612 0.2612 0.7728  -0.02
S 0.4127 0.0757 0.2269  -0.02


The following is a DFT calculation (PBE) of an optimized crystal structure of Na4YEr3S8.

Values from the calculation:
Symmetry: R-3m (166)
VASP energy in Ry per atom: -0.4047
Formation energy without anion corrections in eV per atom: -1.85

a b c (Å): 7.9183 8.0939 7.9184
angles (deg): 119.31 120.00 90.00
Atoms (fractional coordinates):
Na 0.5000 0.0000 0.0000
Na 0.5000 0.0000 0.5000
Na 0.0000 0.0000 0.0000
Na 0.0000 0.0000 0.5000
Y 0.0000 0.5000 0.0000
Er 0.5000 0.5000 0.0000
Er 0.5000 0.5000 0.5000
Er 0.0000 0.5000 0.5000
S 0.2431 0.7257 0.9828
S 0.2431 0.7257 0.4861
S 0.2584 0.2754 0.5168
S 0.7397 0.7257 0.9828
S 0.2603 0.2743 0.0172
S 0.7416 0.7246 0.4832
S 0.7569 0.2743 0.5139
S 0.7569 0.2743 0.0172


The following is a DFT calculation (PBE) of an optimized crystal structure of NaY2ErS4.

Values from the calculation:
Symmetry: P2/m (10)
VASP energy in Ry per atom: -0.4652
Formation energy without anion corrections in eV per atom: -1.91

a b c (Å): 3.9017 6.8039 6.8059
angles (deg): 70.90 90.00 90.00
Atoms (fractional coordinates):
Na 0.5000 0.5000 0.0000
Y 0.0000 0.0000 0.0000
Y 0.5000 0.0000 0.5000
Er 0.0000 0.5000 0.5000
S 0.0000 0.7527 0.7439
S 0.0000 0.2474 0.2561
S 0.5000 0.7468 0.2534
S 0.5000 0.2532 0.7466


The following is a DFT calculation (PBE) of an optimized crystal structure of NaY4ErS8.

Values from the calculation:
Symmetry: R3m (160)
VASP energy in Ry per atom: -0.4843
Formation energy without anion corrections in eV per atom: -1.96

a b c (Å): 8.1048 8.1048 8.0805
angles (deg): 59.90 59.90 60.00
Atoms (fractional coordinates):
Na 0.3755 0.3755 0.8734
Y 0.6246 0.6246 0.1261
Y 0.0045 0.4866 0.5045
Y 0.4866 0.0045 0.5045
Y 0.0045 0.0045 0.5045
Er 0.0047 0.0047 0.9860
S 0.2375 0.7834 0.7416
S 0.7834 0.2375 0.7416
S 0.2375 0.2375 0.7416
S 0.2393 0.2393 0.2822
S 0.7596 0.2247 0.2560
S 0.2247 0.7596 0.2560
S 0.7596 0.7596 0.2560
S 0.7580 0.7580 0.7259


The following is a DFT calculation (PBE) of an optimized crystal structure of Na3ErZr3S8.

Values from the calculation:
Symmetry: R-3m (166)
VASP energy in Ry per atom: -0.4461
Formation energy without anion corrections in eV per atom: -1.59

a b c (Å): 7.4745 7.4735 8.0737
angles (deg): 117.57 90.00 120.00
Atoms (fractional coordinates):
Na 0.0000 0.0000 0.0000
Na 0.0000 0.5000 0.0000
Na 0.5000 0.5000 0.0000
Er 0.0000 0.0000 0.5000
Zr 0.5000 0.0000 0.5000
Zr 0.5000 0.5000 0.5000
Zr 0.0000 0.5000 0.5000
S 0.2586 0.5173 0.2770
S 0.7414 0.4827 0.7230
S 0.7538 0.5077 0.2779
S 0.2462 0.4923 0.7221
S 0.7539 0.0232 0.2777
S 0.2461 0.9768 0.7223
S 0.2694 0.0232 0.2777
S 0.7306 0.9768 0.7223


The following is a DFT calculation (PBE) of an optimized crystal structure of Na3Er3ZrS8.

Values from the calculation:
Symmetry: R-3m (166)
VASP energy in Ry per atom: -0.4216
Formation energy without anion corrections in eV per atom: -1.79

a b c (Å): 7.7964 7.7972 8.1153
angles (deg): 118.74 90.00 120.00
Atoms (fractional coordinates):
Na 0.0000 0.0000 0.0000
Na 0.0000 0.5000 0.0000
Na 0.5000 0.5000 0.0000
Er 0.5000 0.0000 0.5000
Er 0.5000 0.5000 0.5000
Er 0.0000 0.5000 0.5000
Zr 0.0000 0.0000 0.5000
S 0.2584 0.5167 0.2752
S 0.7416 0.4833 0.7248
S 0.7679 0.5357 0.2835
S 0.2321 0.4643 0.7165
S 0.7678 0.0155 0.2835
S 0.2322 0.9845 0.7165
S 0.2476 0.0155 0.2835
S 0.7524 0.9845 0.7165


The following is a DFT calculation (PBE) of an optimized crystal structure of Na2ErZrS4.

Values from the calculation:
Symmetry: P2/m (10)
VASP energy in Ry per atom: -0.4171
Formation energy without anion corrections in eV per atom: -1.64

a b c (Å): 3.8004 6.6419 7.0881
angles (deg): 107.98 90.00 90.00
Atoms (fractional coordinates):
Na 0.5000 0.0000 0.5000
Na 0.0000 0.5000 0.5000
Er 0.0000 0.0000 0.0000
Zr 0.5000 0.5000 0.0000
S 0.5000 0.2510 0.2268
S 0.5000 0.7490 0.7732
S 0.0000 0.2661 0.7760
S 0.0000 0.7339 0.2240


The following is a DFT calculation (PBE) of an optimized crystal structure of Na3ErZr2S6.

Values from the calculation:
Symmetry: C2/m (12)
VASP energy in Ry per atom: -0.4250
Formation energy without anion corrections in eV per atom: -1.58

a b c (Å): 6.5267 6.5267 7.1295
angles (deg): 98.78 98.78 120.02
Atoms (fractional coordinates):
Na 0.1647 0.8353 0.5000
Na 0.8353 0.1647 0.5000
Na 0.5000 0.5000 0.5000
Er 0.0000 0.0000 0.0000
Zr 0.3332 0.6668 0.0000
Zr 0.6668 0.3332 0.0000
S 0.9246 0.5823 0.7742
S 0.7330 0.7330 0.2258
S 0.0754 0.4177 0.2258
S 0.5823 0.9246 0.7742
S 0.2670 0.2670 0.7742
S 0.4177 0.0754 0.2258


The following is a DFT calculation (PBE) of an optimized crystal structure of Na2Er2ZrS6.

Values from the calculation:
Symmetry: C2/m (12)
VASP energy in Ry per atom: -0.4304
Formation energy without anion corrections in eV per atom: -1.76

a b c (Å): 6.6871 6.6871 7.1281
angles (deg): 99.10 99.10 119.54
Atoms (fractional coordinates):
Na 0.8313 0.1687 0.0000
Na 0.1687 0.8313 0.0000
Er 0.3338 0.6662 0.5000
Er 0.6662 0.3338 0.5000
Zr 0.0000 0.0000 0.5000
S 0.7553 0.7553 0.7171
S 0.0712 0.3936 0.7181
S 0.2447 0.2447 0.2829
S 0.3936 0.0712 0.7181
S 0.9288 0.6064 0.2819
S 0.6064 0.9288 0.2819


The following is a DFT calculation (PBE) of an optimized crystal structure of Na2ErZr2S6.

Values from the calculation:
Symmetry: C2/m (12)
VASP energy in Ry per atom: -0.4476
Formation energy without anion corrections in eV per atom: -1.63

a b c (Å): 6.5259 6.5259 7.1803
angles (deg): 98.56 98.56 120.29
Atoms (fractional coordinates):
Na 0.8356 0.1644 0.0000
Na 0.1644 0.8356 0.0000
Er 0.0000 0.0000 0.5000
Zr 0.3339 0.6661 0.5000
Zr 0.6661 0.3339 0.5000
S 0.7281 0.7281 0.7201
S 0.0709 0.4162 0.7194
S 0.2719 0.2719 0.2799
S 0.4162 0.0709 0.7194
S 0.9291 0.5838 0.2806
S 0.5838 0.9291 0.2806


The following is a DFT calculation (PBE) of an optimized crystal structure of Na4Er3ZrS8.

Values from the calculation:
Symmetry: R-3m (166)
VASP energy in Ry per atom: -0.4059
Formation energy without anion corrections in eV per atom: -1.74

a b c (Å): 7.7715 8.0617 7.7715
angles (deg): 118.84 120.00 90.00
Atoms (fractional coordinates):
Na 0.5000 0.0000 0.0000
Na 0.5000 0.0000 0.5000
Na 0.0000 0.0000 0.0000
Na 0.0000 0.0000 0.5000
Er 0.5000 0.5000 0.0000
Er 0.5000 0.5000 0.5000
Er 0.0000 0.5000 0.5000
Zr 0.0000 0.5000 0.0000
S 0.2370 0.7244 0.9875
S 0.2370 0.7244 0.4740
S 0.2573 0.2721 0.5147
S 0.7506 0.7244 0.9875
S 0.2494 0.2756 0.0125
S 0.7427 0.7279 0.4853
S 0.7630 0.2756 0.5260
S 0.7630 0.2756 0.0125


The following is a DFT calculation (PBE) of an optimized crystal structure of NaErSb2.

Values from the calculation:
Symmetry: R-3m (166)
Relative energy among the computed polymorphs in meV/atom: 146
VASP energy in Ry per atom: -0.2909
Formation energy without anion corrections in eV per atom: -0.43

a b c (Å): 4.3549 4.3549 8.0549
angles (deg): 74.32 74.32 60.00
Atoms (fractional coordinates):
Sb 0.2419 0.2419 0.2743
Sb 0.7581 0.7581 0.7257
Na 0.0000 0.0000 0.0000
Er 0.5000 0.5000 0.5000


Which size of the total moment belongs to each record? In order, 0.000; 0.000; 0.188; 0.000; 0.133; 0.213; 0.286; 0.182; 0.251; 0.000; 0.000; 0.000; 0.000; 0.000; 0.000; 0.000; 0.000; 0.000; 0.000; 0.000 μB/atom.